1.
Tl2CdH2 | PBE | optimized geometry

Cell: 5.171 5.171 5.171 Å, 118.66 118.66 92.33°
Atoms (fractional coordinates):
1 Tl 0.250 0.750 0.500
2 Tl 0.750 0.250 0.500
3 Cd 0.000 0.000 0.000
4 H 0.447 0.447 0.000
5 H 0.553 0.553 0.000

Output
crystal system: tetragonal
DOS(E_F): 0.33 states/eV/atom
polymorph energy (0 for the lowest one): 67 meV per atom
electronic total energy: -2.35 eV/atom
density: 8.72 g/cm3

=====

2.
YAl3Pd3 | PBE | optimized geometry

Cell: 6.730 6.730 6.730 Å, 90.00 90.00 90.00°
Atoms (fractional coordinates):
1 Y 0.000 0.000 0.000
2 Y 0.500 0.500 0.500
3 Al 0.000 0.250 0.500
4 Al 0.000 0.750 0.500
5 Al 0.250 0.500 0.000
6 Al 0.500 0.000 0.250
7 Al 0.500 0.000 0.750
8 Al 0.750 0.500 0.000
9 Pd 0.000 0.500 0.250
10 Pd 0.000 0.500 0.750
11 Pd 0.250 0.000 0.500
12 Pd 0.500 0.250 0.000
13 Pd 0.500 0.750 0.000
14 Pd 0.750 0.000 0.500

Output
crystal system: cubic
DOS(E_F): 0.76 states/eV/atom
electronic total energy: -5.11 eV/atom
density: 5.33 g/cm3
energy relative to the elements: -0.3523 eV per atom

=====

3.
TlOsRu2 | PBE | optimized geometry

Cell: 2.870 4.505 4.977 Å, 90.00 90.00 90.00°
Atoms (fractional coordinates):
1 Tl 0.000 0.000 0.000
2 Os 0.000 0.500 0.643
3 Ru 0.500 0.000 0.502
4 Ru 0.500 0.500 0.203

Output
crystal system: orthorhombic
DOS(E_F): 1.56 states/eV/atom
polymorph energy (0 for the lowest one): 236 meV per atom
electronic total energy: -7.39 eV/atom
density: 15.40 g/cm3
energy relative to the elements: 0.6452 eV per atom

=====

4.
Th5NpSe6 | PBE | optimized geometry

Cell: 7.234 7.234 7.269 Å, 99.50 99.50 119.84°
Atoms (fractional coordinates):
1 Th 0.000 0.000 0.000
2 Th 0.166 0.834 0.500
3 Th 0.330 0.670 0.000
4 Th 0.670 0.330 0.000
5 Th 0.834 0.166 0.500
6 Np 0.500 0.500 0.500
7 Se 0.091 0.419 0.255
8 Se 0.256 0.256 0.749
9 Se 0.419 0.091 0.255
10 Se 0.581 0.909 0.745
11 Se 0.744 0.744 0.251
12 Se 0.909 0.581 0.745

Output
crystal system: monoclinic
E_form (uncorrected): -1.469 eV per atom
DOS(E_F): 1.28 states/eV/atom
electronic total energy: -7.38 eV/atom
density: 9.97 g/cm3

=====

5.
YTeAs4 | PBE | optimized geometry

Cell: 5.726 5.726 5.726 Å, 60.00 60.00 60.00°
Atoms (fractional coordinates):
1 Y 0.000 0.000 0.000
2 Te 0.250 0.250 0.250
3 As 0.135 0.622 0.622
4 As 0.622 0.135 0.622
5 As 0.622 0.622 0.135
6 As 0.622 0.622 0.622

Output
crystal system: cubic
E_form (uncorrected): -0.125 eV per atom
DOS(E_F): 0.71 states/eV/atom
electronic total energy: -4.83 eV/atom
density: 6.46 g/cm3

=====

6.
TbSm2Sc | PBE | optimized geometry

Cell: 10.014 5.007 9.834 Å, 90.00 90.00 90.00°
Atoms (fractional coordinates):
1 Tb 0.124 0.250 0.000
2 Tb 0.376 0.750 0.500
3 Tb 0.624 0.250 0.500
4 Tb 0.876 0.750 0.000
5 Sm 0.125 0.750 0.249
6 Sm 0.126 0.250 0.500
7 Sm 0.374 0.750 0.000
8 Sm 0.375 0.250 0.749
9 Sm 0.625 0.750 0.251
10 Sm 0.626 0.250 0.000
11 Sm 0.874 0.750 0.500
12 Sm 0.875 0.250 0.751
13 Sc 0.125 0.750 0.751
14 Sc 0.375 0.250 0.251
15 Sc 0.625 0.750 0.749
16 Sc 0.875 0.250 0.249

Output
crystal system: orthorhombic
DOS(E_F): 1.57 states/eV/atom
polymorph energy (0 for the lowest one): 5 meV per atom
electronic total energy: -5.06 eV/atom
density: 6.80 g/cm3
energy relative to the elements: 0.0444 eV per atom

=====

7.
TbPm2Tm8 | PBE | optimized geometry

Cell: 9.325 9.325 7.878 Å, 104.65 104.65 30.99°
Atoms (fractional coordinates):
1 Tb 0.000 0.000 0.000
2 Pm 0.273 0.273 0.363
3 Pm 0.727 0.727 0.637
4 Tm 0.090 0.090 0.454
5 Tm 0.181 0.181 0.908
6 Tm 0.365 0.365 0.821
7 Tm 0.456 0.456 0.273
8 Tm 0.544 0.544 0.727
9 Tm 0.635 0.635 0.179
10 Tm 0.819 0.819 0.092
11 Tm 0.910 0.910 0.546

Output
crystal system: monoclinic
DOS(E_F): 1.34 states/eV/atom
polymorph energy (0 for the lowest one): 0 meV per atom
electronic total energy: -4.51 eV/atom
density: 8.78 g/cm3
energy relative to the elements: 0.0252 eV per atom

=====

8.
Pa2FeSi2Mo | PBE | optimized geometry

Cell: 7.669 7.669 7.669 Å, 134.73 65.67 135.09°
Atoms (fractional coordinates):
1 Pa 0.158 0.246 0.404
2 Pa 0.342 0.746 0.088
3 Pa 0.658 0.254 0.912
4 Pa 0.842 0.754 0.596
5 Fe 0.250 0.250 0.000
6 Fe 0.750 0.750 0.000
7 Si 0.104 0.769 0.873
8 Si 0.396 0.269 0.665
9 Si 0.604 0.731 0.335
10 Si 0.896 0.231 0.127
11 Mo 0.250 0.750 0.500
12 Mo 0.750 0.250 0.500

Output
crystal system: orthorhombic
E_form (uncorrected): -0.417 eV per atom
DOS(E_F): 1.35 states/eV/atom
electronic total energy: -8.61 eV/atom
density: 9.99 g/cm3

=====

9.
CsK3 | PBE | optimized geometry

Cell: 6.899 6.899 6.899 Å, 90.00 90.00 90.00°
Atoms (fractional coordinates):
1 Cs 0.000 0.000 0.000
2 K 0.000 0.500 0.500
3 K 0.500 0.000 0.500
4 K 0.500 0.500 0.000

Output
crystal system: cubic
DOS(E_F): 0.86 states/eV/atom
electronic total energy: -1.02 eV/atom
density: 1.27 g/cm3
energy relative to the elements: 0.0140 eV per atom

=====

10.
BaGd2Sc | PBE | optimized geometry

Cell: 12.705 12.705 12.705 Å, 16.20 16.20 16.20°
Atoms (fractional coordinates):
1 Ba 0.000 0.000 0.000
2 Gd 0.096 0.096 0.096
3 Gd 0.904 0.904 0.904
4 Sc 0.500 0.500 0.500

Output
crystal system: trigonal
DOS(E_F): 1.68 states/eV/atom
polymorph energy (0 for the lowest one): 100 meV per atom
electronic total energy: -8.86 eV/atom
density: 5.93 g/cm3
energy relative to the elements: 0.2463 eV per atom

=====

11.
InCoH | PBE | optimized geometry

Cell: 7.529 7.529 5.498 Å, 103.50 103.50 97.98°
Atoms (fractional coordinates):
1 In 0.000 0.000 0.000
2 In 0.025 0.681 0.221
3 In 0.088 0.361 0.430
4 In 0.361 0.088 0.430
5 In 0.372 0.656 0.026
6 In 0.656 0.372 0.026
7 In 0.681 0.025 0.221
8 In 0.705 0.705 0.556
9 Co 0.004 0.004 0.513
10 Co 0.055 0.683 0.721
11 Co 0.070 0.343 0.915
12 Co 0.343 0.070 0.915
13 Co 0.369 0.763 0.592
14 Co 0.415 0.415 0.302
15 Co 0.683 0.055 0.721
16 Co 0.763 0.369 0.592
17 H 0.165 0.165 0.739
18 H 0.206 0.865 0.703
19 H 0.298 0.298 0.008
20 H 0.384 0.549 0.560
21 H 0.502 0.954 0.797
22 H 0.549 0.384 0.560
23 H 0.865 0.206 0.703
24 H 0.954 0.502 0.797

Output
crystal system: monoclinic
DOS(E_F): 0.56 states/eV/atom
polymorph energy (0 for the lowest one): 9 meV per atom
electronic total energy: -4.28 eV/atom
density: 8.05 g/cm3

=====

12.
DyHoGaIr | PBE | optimized geometry

Cell: 4.944 4.944 4.944 Å, 60.00 60.00 60.00°
Atoms (fractional coordinates):
1 Dy 0.000 0.000 0.000
2 Ho 0.500 0.500 0.500
3 Ga 0.250 0.250 0.250
4 Ir 0.750 0.750 0.750

Output
crystal system: cubic
DOS(E_F): 0.61 states/eV/atom
polymorph energy (0 for the lowest one): 62 meV per atom
electronic total energy: -5.96 eV/atom
density: 11.45 g/cm3
energy relative to the elements: -0.6906 eV per atom

=====

Repeat the fourth record exactly.
Th5NpSe6 | PBE | optimized geometry

Cell: 7.234 7.234 7.269 Å, 99.50 99.50 119.84°
Atoms (fractional coordinates):
1 Th 0.000 0.000 0.000
2 Th 0.166 0.834 0.500
3 Th 0.330 0.670 0.000
4 Th 0.670 0.330 0.000
5 Th 0.834 0.166 0.500
6 Np 0.500 0.500 0.500
7 Se 0.091 0.419 0.255
8 Se 0.256 0.256 0.749
9 Se 0.419 0.091 0.255
10 Se 0.581 0.909 0.745
11 Se 0.744 0.744 0.251
12 Se 0.909 0.581 0.745

Output
crystal system: monoclinic
E_form (uncorrected): -1.469 eV per atom
DOS(E_F): 1.28 states/eV/atom
electronic total energy: -7.38 eV/atom
density: 9.97 g/cm3

=====

Repeat the eleventh record exactly.
InCoH | PBE | optimized geometry

Cell: 7.529 7.529 5.498 Å, 103.50 103.50 97.98°
Atoms (fractional coordinates):
1 In 0.000 0.000 0.000
2 In 0.025 0.681 0.221
3 In 0.088 0.361 0.430
4 In 0.361 0.088 0.430
5 In 0.372 0.656 0.026
6 In 0.656 0.372 0.026
7 In 0.681 0.025 0.221
8 In 0.705 0.705 0.556
9 Co 0.004 0.004 0.513
10 Co 0.055 0.683 0.721
11 Co 0.070 0.343 0.915
12 Co 0.343 0.070 0.915
13 Co 0.369 0.763 0.592
14 Co 0.415 0.415 0.302
15 Co 0.683 0.055 0.721
16 Co 0.763 0.369 0.592
17 H 0.165 0.165 0.739
18 H 0.206 0.865 0.703
19 H 0.298 0.298 0.008
20 H 0.384 0.549 0.560
21 H 0.502 0.954 0.797
22 H 0.549 0.384 0.560
23 H 0.865 0.206 0.703
24 H 0.954 0.502 0.797

Output
crystal system: monoclinic
DOS(E_F): 0.56 states/eV/atom
polymorph energy (0 for the lowest one): 9 meV per atom
electronic total energy: -4.28 eV/atom
density: 8.05 g/cm3

=====

Question: Number 5 is which compound?
Answer: YTeAs4

=====

Please write out number 1 again, unchanged.
Tl2CdH2 | PBE | optimized geometry

Cell: 5.171 5.171 5.171 Å, 118.66 118.66 92.33°
Atoms (fractional coordinates):
1 Tl 0.250 0.750 0.500
2 Tl 0.750 0.250 0.500
3 Cd 0.000 0.000 0.000
4 H 0.447 0.447 0.000
5 H 0.553 0.553 0.000

Output
crystal system: tetragonal
DOS(E_F): 0.33 states/eV/atom
polymorph energy (0 for the lowest one): 67 meV per atom
electronic total energy: -2.35 eV/atom
density: 8.72 g/cm3